Model 1:
# AcTb4Y4, optimized geometry, DFT PBE
data_AcTb4Y4
_chemical_formula_sum 'Ac1 Tb4 Y4'
_cell_length_a 8.084
_cell_length_b 8.084
_cell_length_c 8.084
_cell_angle_alpha 95.72
_cell_angle_beta 95.72
_cell_angle_gamma 143.20
_space_group_name_H-M_alt 'P 1'
_space_group_IT_number 1
loop_
_space_group_symop_operation_xyz
'x,y,z'
loop_
_atom_site_label
_atom_site_fract_x
_atom_site_fract_y
_atom_site_fract_z
Ac1 0.000 0.000 0.000
Tb1 0.000 0.337 0.337
Tb2 0.000 0.663 0.663
Tb3 0.337 0.000 0.337
Tb4 0.663 0.000 0.663
Y1 0.330 0.330 0.660
Y2 0.330 0.670 0.000
Y3 0.670 0.330 0.000
Y4 0.670 0.670 0.340
# Symmetry: No. 139
# Crystal system: tetragonal

Model 2:
# AcTb4Y4, optimized geometry, DFT PBE
data_AcTb4Y4
_chemical_formula_sum 'Ac2 Tb8 Y8'
_cell_length_a 9.288
_cell_length_b 9.288
_cell_length_c 10.979
_cell_angle_alpha 93.44
_cell_angle_beta 93.44
_cell_angle_gamma 139.51
_space_group_name_H-M_alt 'P 1'
_space_group_IT_number 1
loop_
_space_group_symop_operation_xyz
'x,y,z'
loop_
_atom_site_label
_atom_site_fract_x
_atom_site_fract_y
_atom_site_fract_z
Ac1 0.223 0.223 0.275
Ac2 0.777 0.777 0.725
Tb1 0.185 0.815 0.000
Tb2 0.352 0.641 0.838
Tb3 0.356 0.644 0.500
Tb4 0.359 0.648 0.162
Tb5 0.641 0.352 0.838
Tb6 0.644 0.356 0.500
Tb7 0.648 0.359 0.162
Tb8 0.815 0.185 0.000
Y1 0.171 0.795 0.335
Y2 0.205 0.829 0.665
Y3 0.225 0.225 0.613
Y4 0.229 0.229 0.943
Y5 0.771 0.771 0.057
Y6 0.775 0.775 0.387
Y7 0.795 0.171 0.335
Y8 0.829 0.205 0.665
# Symmetry: No. 12
# Crystal system: monoclinic

Result of the stability comparison: model 2 is the least stable of them.

Model 1:
# AcTb12Y7, optimized geometry, DFT PBE
data_AcTb12Y7
_chemical_formula_sum 'Ac1 Tb12 Y7'
_cell_length_a 8.764
_cell_length_b 8.764
_cell_length_c 8.764
_cell_angle_alpha 88.25
_cell_angle_beta 88.25
_cell_angle_gamma 88.25
_space_group_name_H-M_alt 'P 1'
_space_group_IT_number 1
loop_
_space_group_symop_operation_xyz
'x,y,z'
loop_
_atom_site_label
_atom_site_fract_x
_atom_site_fract_y
_atom_site_fract_z
Ac1 0.000 0.000 0.000
Tb1 0.139 0.496 0.622
Tb2 0.144 0.721 0.273
Tb3 0.273 0.144 0.721
Tb4 0.279 0.727 0.856
Tb5 0.378 0.861 0.504
Tb6 0.496 0.622 0.139
Tb7 0.504 0.378 0.861
Tb8 0.622 0.139 0.496
Tb9 0.721 0.273 0.144
Tb10 0.727 0.856 0.279
Tb11 0.856 0.279 0.727
Tb12 0.861 0.504 0.378
Y1 0.058 0.157 0.390
Y2 0.157 0.390 0.058
Y3 0.390 0.058 0.157
Y4 0.500 0.500 0.500
Y5 0.610 0.942 0.843
Y6 0.843 0.610 0.942
Y7 0.942 0.843 0.610
# Symmetry: No. 148
# Crystal system: trigonal

Model 2:
# AcTb12Y7, optimized geometry, DFT PBE
data_AcTb12Y7
_chemical_formula_sum 'Ac1 Tb12 Y7'
_cell_length_a 9.867
_cell_length_b 9.867
_cell_length_c 9.867
_cell_angle_alpha 109.47
_cell_angle_beta 109.47
_cell_angle_gamma 109.47
_space_group_name_H-M_alt 'P 1'
_space_group_IT_number 1
loop_
_space_group_symop_operation_xyz
'x,y,z'
loop_
_atom_site_label
_atom_site_fract_x
_atom_site_fract_y
_atom_site_fract_z
Ac1 0.000 0.000 0.000
Tb1 0.001 0.265 0.735
Tb2 0.265 0.265 0.530
Tb3 0.265 0.530 0.265
Tb4 0.265 0.735 0.001
Tb5 0.265 0.999 0.735
Tb6 0.470 0.735 0.735
Tb7 0.530 0.265 0.265
Tb8 0.735 0.001 0.265
Tb9 0.735 0.265 0.999
Tb10 0.735 0.470 0.735
Tb11 0.735 0.735 0.470
Tb12 0.999 0.735 0.265
Y1 0.000 0.000 0.500
Y2 0.000 0.500 0.000
Y3 0.000 0.500 0.500
Y4 0.500 0.000 0.000
Y5 0.500 0.000 0.500
Y6 0.500 0.500 0.000
Y7 0.500 0.500 0.500
# Symmetry: No. 204
# Crystal system: cubic

Result of the stability comparison: model 2 is the least stable of them.

Model 1:
# AcTbZn, optimized geometry, DFT PBE
data_AcTbZn
_chemical_formula_sum 'Ac2 Tb2 Zn2'
_cell_length_a 3.789
_cell_length_b 3.789
_cell_length_c 12.748
_cell_angle_alpha 90.00
_cell_angle_beta 90.00
_cell_angle_gamma 90.00
_space_group_name_H-M_alt 'P 1'
_space_group_IT_number 1
loop_
_space_group_symop_operation_xyz
'x,y,z'
loop_
_atom_site_label
_atom_site_fract_x
_atom_site_fract_y
_atom_site_fract_z
Ac1 0.000 0.000 0.000
Ac2 0.500 0.500 0.500
Tb1 0.000 0.000 0.285
Tb2 0.500 0.500 0.785
Zn1 0.000 0.000 0.669
Zn2 0.500 0.500 0.169
# Symmetry: No. 107
# Crystal system: tetragonal

Model 2:
# AcTbZn, optimized geometry, DFT PBE
data_AcTbZn
_chemical_formula_sum 'Ac1 Tb1 Zn1'
_cell_length_a 5.215
_cell_length_b 5.215
_cell_length_c 3.971
_cell_angle_alpha 90.00
_cell_angle_beta 90.00
_cell_angle_gamma 120.00
_space_group_name_H-M_alt 'P 1'
_space_group_IT_number 1
loop_
_space_group_symop_operation_xyz
'x,y,z'
loop_
_atom_site_label
_atom_site_fract_x
_atom_site_fract_y
_atom_site_fract_z
Ac1 0.000 0.000 0.000
Tb1 0.667 0.333 0.500
Zn1 0.333 0.667 0.500
# Symmetry: No. 187
# Crystal system: hexagonal

Model 3:
# AcTbZn, optimized geometry, DFT PBE
data_AcTbZn
_chemical_formula_sum 'Ac4 Tb4 Zn4'
_cell_length_a 7.364
_cell_length_b 7.364
_cell_length_c 7.364
_cell_angle_alpha 90.00
_cell_angle_beta 90.00
_cell_angle_gamma 90.00
_space_group_name_H-M_alt 'P 1'
_space_group_IT_number 1
loop_
_space_group_symop_operation_xyz
'x,y,z'
loop_
_atom_site_label
_atom_site_fract_x
_atom_site_fract_y
_atom_site_fract_z
Ac1 0.000 0.000 0.000
Ac2 0.000 0.500 0.500
Ac3 0.500 0.000 0.500
Ac4 0.500 0.500 0.000
Tb1 0.000 0.000 0.500
Tb2 0.000 0.500 0.000
Tb3 0.500 0.000 0.000
Tb4 0.500 0.500 0.500
Zn1 0.250 0.250 0.250
Zn2 0.250 0.750 0.750
Zn3 0.750 0.250 0.750
Zn4 0.750 0.750 0.250
# Symmetry: No. 216
# Crystal system: cubic

Model 4:
# AcTbZn, optimized geometry, DFT PBE
data_AcTbZn
_chemical_formula_sum 'Ac4 Tb4 Zn4'
_cell_length_a 8.667
_cell_length_b 8.667
_cell_length_c 8.667
_cell_angle_alpha 96.58
_cell_angle_beta 96.58
_cell_angle_gamma 140.42
_space_group_name_H-M_alt 'P 1'
_space_group_IT_number 1
loop_
_space_group_symop_operation_xyz
'x,y,z'
loop_
_atom_site_label
_atom_site_fract_x
_atom_site_fract_y
_atom_site_fract_z
Ac1 0.000 0.246 0.246
Ac2 0.000 0.754 0.754
Ac3 0.246 0.000 0.246
Ac4 0.754 0.000 0.754
Tb1 0.315 0.315 0.631
Tb2 0.315 0.685 0.000
Tb3 0.685 0.315 0.000
Tb4 0.685 0.685 0.369
Zn1 0.119 0.500 0.619
Zn2 0.500 0.119 0.619
Zn3 0.500 0.881 0.381
Zn4 0.881 0.500 0.381
# Symmetry: No. 139
# Crystal system: tetragonal

Result of the stability comparison: model 3 is the least stable of them.